[1]
12
Lattice="6.538 0.000 0.000 0.000 3.322 0.000 0.000 0.000 7.197" Properties=species:S:1:pos:R:3 comment="BeMoPd PBE optimized geometry" space_group="No. 62" de_polymorph_mev_per_atom=57 dos_ef_per_ev_fu=1.34 e_form_ev_per_atom=-0.18 volume_a3_per_cell=156.32 total_magnetization_mub_per_fu=0.0 pbc="T T T"
Be 1.430 2.492 4.596
Be 5.108 0.831 2.600
Be 1.839 0.831 0.998
Be 4.699 2.492 6.199
Pd 0.977 0.831 3.120
Pd 2.292 2.492 6.719
Pd 5.561 2.492 4.076
Pd 4.246 0.831 0.478
Mo 3.428 0.831 4.622
Mo 6.379 2.492 1.023
Mo 0.159 0.831 6.173
Mo 3.110 2.492 2.575


[2]
5
Lattice="5.137 0.000 0.000 0.000 5.137 0.000 0.000 0.000 5.137" Properties=species:S:1:pos:R:3 comment="KMg3Ru PBE optimized geometry" space_group="No. 221" de_polymorph_mev_per_atom=1754 dos_ef_per_ev_fu=6.49 e_form_ev_per_atom=1.94 volume_a3_per_cell=135.59 total_magnetization_mub_per_fu=0.0 pbc="T T T"
K 0.000 0.000 0.000
Mg 0.000 0.000 2.569
Mg 0.000 2.569 0.000
Mg 2.569 0.000 0.000
Ru 2.569 2.569 2.569


[3]
18
Lattice="-5.230 4.726 -6.500 2.664 -8.629 -3.222 -8.066 -4.815 -1.920" Properties=species:S:1:pos:R:3 comment="Ac6Tl2Pt PBE optimized geometry" space_group="No. 71" de_polymorph_mev_per_atom=79 dos_ef_per_ev_fu=10.29 e_form_ev_per_atom=-0.31 volume_a3_per_cell=677.20 total_magnetization_mub_per_fu=0.0 pbc="T T T"
Ac -2.365 -4.557 -6.151
Ac -5.110 -4.145 -2.970
Ac -5.522 -4.573 -8.672
Ac 0.633 -6.186 -3.666
Ac -8.266 -4.161 -5.491
Ac -3.849 -0.237 -2.878
Ac -4.704 -1.538 -6.117
Ac -6.783 -8.481 -8.763
Ac -9.391 -5.872 -9.751
Ac -11.265 -2.532 -7.975
Ac -5.928 -7.180 -5.525
Ac -1.241 -2.846 -1.890
Pt 0.000 0.000 0.000
Pt -1.283 -1.951 -4.861
Tl -3.047 -7.248 -3.881
Tl -6.243 1.317 -4.864
Tl -7.053 -1.406 -3.556
Tl -7.585 -1.470 -7.761


[4]
4
Lattice="2.491 0.002 -0.010 1.244 5.257 -0.006 0.028 2.567 4.735" Properties=species:S:1:pos:R:3 comment="PC PBE optimized geometry" space_group="No. 2" de_polymorph_mev_per_atom=17 dos_ef_per_ev_fu=0.25 e_form_ev_per_atom=0.33 volume_a3_per_cell=62.01 total_magnetization_mub_per_fu=0.0 pbc="T T T"
P 2.515 3.250 3.782
P 1.247 4.575 0.937
C 1.245 2.939 0.130
C 2.518 4.886 4.589


[5]
4
Lattice="5.600 0.000 0.000 2.800 4.850 0.000 2.800 1.617 4.573" Properties=species:S:1:pos:R:3 comment="TbGdYPu PBE optimized geometry" space_group="No. 216" dos_ef_per_ev_fu=11.41 e_form_ev_per_atom=0.20 volume_a3_per_cell=124.20 total_magnetization_mub_per_fu=0.1 pbc="T T T"
Y 2.800 1.617 1.143
Pu 8.400 4.850 3.429
Tb 5.600 3.233 2.286
Gd 0.000 0.000 0.000


[6]
14
Lattice="-0.868 0.166 4.944 -4.442 -1.825 -1.469 3.162 -8.370 0.836" Properties=species:S:1:pos:R:3 comment="MnGa6 PBE optimized geometry" space_group="No. 63" dos_ef_per_ev_fu=1.84 e_form_ev_per_atom=-0.03 volume_a3_per_cell=224.19 total_magnetization_mub_per_fu=0.0 pbc="T T T"
Ga -2.736 -6.491 3.540
Ga -0.347 -1.065 0.524
Ga 0.588 -3.538 0.771
Ga 1.804 -6.296 2.594
Ga -1.692 -5.358 1.048
Ga -3.953 -3.734 1.717
Ga 0.500 -7.021 0.255
Ga -3.273 -1.173 0.630
Ga -2.649 -3.008 4.056
Ga -1.802 -8.964 3.787
Ga -0.457 -4.671 3.263
Ga -2.038 -0.486 2.845
Mn -0.594 -7.204 2.567
Mn -1.555 -2.825 1.744